1.
Ce2UNiS4 PBE relaxed; energy relative to the elements, uncorrected = -1.3380 eV/atom; E = -56.15 eV per cell; total magnetic moment = 5.405 Bohr magnetons per cell; theoretical density = 7.5 Mg/m³; SG = No. 121
1.0
-3.3956 3.3956 3.3967
3.3956 -3.3956 3.3967
3.3956 3.3956 -3.3967
Ce U Ni S
2 1 1 4
direct
0.0000 0.5000 0.5000 Ce
0.5000 0.0000 0.5000 Ce
0.0000 0.0000 0.0000 U
0.5000 0.5000 0.0000 Ni
0.1046 0.1046 0.6116 S
0.4929 0.4929 0.3884 S
0.5071 0.8954 0.0000 S
0.8954 0.5071 0.0000 S

2.
ScRu3 PBE relaxed; E = -33.97 eV per cell; total magnetic moment = 0.000 Bohr magnetons per cell; calculated formation energy = 0.0485 eV/atom; theoretical density = 9.4 Mg/m³; SG = No. 187
1.0
2.8389 0.0000 0.0000
-1.4195 2.4586 0.0000
0.0000 0.0000 8.7810
Sc Ru
1 3
direct
0.0000 0.0000 0.0000 Sc
0.0000 0.0000 0.5000 Ru
0.6667 0.3333 0.2656 Ru
0.6667 0.3333 0.7344 Ru

3.
CeZnGaHg PBE relaxed; E = -11.62 eV per cell; total magnetic moment = 0.928 Bohr magnetons per cell; calculated formation energy = -0.2705 eV/atom; theoretical density = 9.2 Mg/m³; SG = No. 216
1.0
0.0000 3.4980 3.4980
3.4980 0.0000 3.4980
3.4980 3.4980 0.0000
Ce Zn Ga Hg
1 1 1 1
direct
0.0000 0.0000 0.0000 Ce
0.2500 0.2500 0.2500 Zn
0.7500 0.7500 0.7500 Ga
0.5000 0.5000 0.5000 Hg

4.
LiGe3Pt PBE relaxed; E = -20.47 eV per cell; total magnetic moment = 0.000 Bohr magnetons per cell; calculated formation energy = 0.2678 eV/atom; offset from the most stable computed form = 0.0 meV per atom; theoretical density = 5.7 Mg/m³; SG = No. 221
1.0
4.9508 0.0000 0.0000
0.0000 4.9508 0.0000
0.0000 0.0000 4.9508
Li Ge Pt
1 3 1
direct
0.0000 0.0000 0.0000 Li
0.0000 0.5000 0.5000 Ge
0.5000 0.0000 0.5000 Ge
0.5000 0.5000 0.0000 Ge
0.5000 0.5000 0.5000 Pt

5.
LaIn PBE relaxed; E = -16.38 eV per cell; total magnetic moment = 0.000 Bohr magnetons per cell; calculated formation energy = -0.2612 eV/atom; theoretical density = 6.8 Mg/m³; SG = No. 59
1.0
3.7097 0.0000 0.0000
0.0000 4.8947 0.0000
0.0000 0.0000 6.8009
La In
2 2
direct
0.2500 0.2500 0.1336 La
0.7500 0.7500 0.8664 La
0.2500 0.2500 0.6288 In
0.7500 0.7500 0.3712 In

6.
CeHoCo PBE relaxed; E = -17.61 eV per cell; total magnetic moment = 0.583 Bohr magnetons per cell; calculated formation energy = 0.0039 eV/atom; offset from the most stable computed form = 160.5 meV per atom; theoretical density = 8.3 Mg/m³; SG = No. 216
1.0
0.0000 3.3084 3.3084
3.3084 0.0000 3.3084
3.3084 3.3084 0.0000
Ce Ho Co
1 1 1
direct
0.0000 0.0000 0.0000 Ce
0.5000 0.5000 0.5000 Ho
0.2500 0.2500 0.2500 Co

7.
BeAg3Au PBE relaxed; E = -9.96 eV per cell; total magnetic moment = 0.000 Bohr magnetons per cell; calculated formation energy = 1.1185 eV/atom; offset from the most stable computed form = 741.6 meV per atom; theoretical density = 6.4 Mg/m³; SG = No. 221
1.0
5.1487 0.0000 0.0000
0.0000 5.1487 0.0000
0.0000 0.0000 5.1487
Be Ag Au
1 3 1
direct
0.0000 0.0000 0.0000 Be
0.0000 0.5000 0.5000 Ag
0.5000 0.0000 0.5000 Ag
0.5000 0.5000 0.0000 Ag
0.5000 0.5000 0.5000 Au

8.
Ho2TmPd3 PBE relaxed; E = -34.72 eV per cell; total magnetic moment = 0.000 Bohr magnetons per cell; calculated formation energy = -0.9191 eV/atom; offset from the most stable computed form = 0.0 meV per atom; theoretical density = 10.7 Mg/m³; SG = No. 65
1.0
2.4839 -7.4555 0.0000
2.4839 7.4555 0.0000
0.0000 0.0000 3.4147
Ho Tm Pd
2 1 3
direct
0.1666 0.8334 0.0000 Ho
0.8334 0.1666 0.0000 Ho
0.5000 0.5000 0.0000 Tm
0.0000 0.0000 0.5000 Pd
0.3356 0.6644 0.5000 Pd
0.6644 0.3356 0.5000 Pd

9.
YTl2Os PBE relaxed; E = -20.23 eV per cell; total magnetic moment = 0.000 Bohr magnetons per cell; calculated formation energy = 0.5497 eV/atom; offset from the most stable computed form = 338.1 meV per atom; theoretical density = 12.4 Mg/m³; SG = No. 166
1.0
1.6647 0.9611 9.5701
-1.6647 0.9611 9.5701
0.0000 -1.9222 9.5701
Y Tl Os
1 2 1
direct
0.0000 0.0000 0.0000 Y
0.2400 0.2400 0.2400 Tl
0.7600 0.7600 0.7600 Tl
0.5000 0.5000 0.5000 Os

10.
Tb6AuSe2S3 PBE relaxed; energy relative to the elements, uncorrected = -1.7371 eV/atom; E = -71.26 eV per cell; total magnetic moment = 0.000 Bohr magnetons per cell; theoretical density = 8.4 Mg/m³; SG = No. 12
1.0
3.4881 -6.0451 0.0000
3.4881 6.0451 0.0000
-2.3251 0.0000 6.5816
Tb Au Se S
6 1 2 3
direct
0.0864 0.4220 0.7628 Tb
0.2454 0.2454 0.2338 Tb
0.4220 0.0864 0.7628 Tb
0.5780 0.9136 0.2372 Tb
0.7546 0.7546 0.7662 Tb
0.9136 0.5780 0.2372 Tb
0.0000 0.0000 0.5000 Au
0.3348 0.6652 0.5000 Se
0.6652 0.3348 0.5000 Se
0.1690 0.8310 0.0000 S
0.5000 0.5000 0.0000 S
0.8310 0.1690 0.0000 S

11.
KCa2TlSn PBE relaxed; E = -11.45 eV per cell; total magnetic moment = 0.000 Bohr magnetons per cell; calculated formation energy = 0.0034 eV/atom; theoretical density = 3.1 Mg/m³; SG = No. 123
1.0
6.0312 0.0000 0.0000
0.0000 6.0312 0.0000
0.0000 0.0000 6.5838
K Ca Tl Sn
1 2 1 1
direct
0.0000 0.0000 0.0000 K
0.0000 0.5000 0.5000 Ca
0.5000 0.0000 0.5000 Ca
0.5000 0.5000 0.0000 Tl
0.0000 0.0000 0.5000 Sn

12.
MgB2H13N3 PBE relaxed; E = -364.31 eV per cell; total magnetic moment = 0.000 Bohr magnetons per cell; theoretical density = 1.0 Mg/m³; SG = No. 14
1.0
8.1570 0.0000 0.0000
0.0000 9.1020 0.0000
-0.7005 0.0000 8.7874
Mg B H N
4 8 52 12
direct
0.2180 0.0735 0.2678 Mg
0.2180 0.4265 0.7678 Mg
0.7820 0.5735 0.2322 Mg
0.7820 0.9265 0.7322 Mg
0.1386 0.7485 0.2296 B
0.1386 0.7515 0.7296 B
0.2959 0.2276 0.9577 B
0.2959 0.2724 0.4577 B
0.7041 0.7276 0.5423 B
0.7041 0.7724 0.0423 B
0.8614 0.2485 0.2704 B
0.8614 0.2515 0.7704 B
0.0221 0.6609 0.2081 H
0.0221 0.8391 0.7081 H
0.0275 0.0928 0.6839 H
0.0275 0.4072 0.1839 H
0.0614 0.1421 0.9999 H
0.0614 0.3579 0.4999 H
0.1148 0.6453 0.9436 H
0.1148 0.8547 0.4436 H
0.1744 0.7099 0.6029 H
0.1744 0.7901 0.1029 H
0.1958 0.0132 0.9798 H
0.1958 0.4868 0.4798 H
0.2556 0.6803 0.2915 H
0.2556 0.8197 0.7915 H
0.2595 0.1462 0.4970 H
0.2595 0.3538 0.9970 H
0.2825 0.2190 0.8154 H
0.2825 0.2810 0.3154 H
0.4418 0.2075 0.9970 H
0.4418 0.2925 0.4970 H
0.4438 0.5733 0.2288 H
0.4438 0.9267 0.7288 H
0.4822 0.5720 0.6815 H
0.4822 0.9280 0.1815 H
0.4964 0.0727 0.6345 H
0.4964 0.4273 0.1345 H
0.5036 0.5727 0.8655 H
0.5036 0.9273 0.3655 H
0.5178 0.0720 0.8185 H
0.5178 0.4280 0.3185 H
0.5562 0.0733 0.2712 H
0.5562 0.4267 0.7712 H
0.5582 0.7075 0.5030 H
0.5582 0.7925 0.0030 H
0.7175 0.7190 0.6846 H
0.7175 0.7810 0.1846 H
0.7405 0.6462 0.0030 H
0.7405 0.8538 0.5030 H
0.7444 0.1803 0.2085 H
0.7444 0.3197 0.7085 H
0.8042 0.5132 0.5202 H
0.8042 0.9868 0.0202 H
0.8256 0.2099 0.8971 H
0.8256 0.2901 0.3971 H
0.8852 0.1453 0.5564 H
0.8852 0.3547 0.0564 H
0.9386 0.6421 0.5001 H
0.9386 0.8579 0.0001 H
0.9725 0.5928 0.8161 H
0.9725 0.9072 0.3161 H
0.9779 0.1609 0.2919 H
0.9779 0.3391 0.7919 H
0.0952 0.6174 0.8309 N
0.0952 0.8826 0.3309 N
0.1816 0.1140 0.0294 N
0.1816 0.3860 0.5294 N
0.4675 0.5067 0.7745 N
0.4675 0.9933 0.2745 N
0.5325 0.0067 0.7255 N
0.5325 0.4933 0.2255 N
0.8184 0.6140 0.4706 N
0.8184 0.8860 0.9706 N
0.9048 0.1174 0.6691 N
0.9048 0.3826 0.1691 N

13.
TePH PBE relaxed; E = -22.78 eV per cell; total magnetic moment = 0.000 Bohr magnetons per cell; offset from the most stable computed form = 114.6 meV per atom; theoretical density = 3.4 Mg/m³; SG = No. 1
1.0
5.2664 0.0000 0.0000
-0.6152 5.4363 0.0000
-1.6889 -1.7379 5.5006
Te P H
2 2 2
direct
0.0000 0.0000 0.0000 Te
0.4816 0.5688 0.3396 Te
0.5780 0.6408 0.7898 P
0.7215 0.3057 0.6009 P
0.8248 0.1676 0.1588 H
0.9925 0.4385 0.6494 H

14.
Rb3Ce3HgS8 PBE relaxed; energy relative to the elements, uncorrected = -1.4576 eV/atom; E = -75.89 eV per cell; total magnetic moment = 1.122 Bohr magnetons per cell; theoretical density = 4.1 Mg/m³; SG = No. 12
1.0
6.9319 -4.3090 0.0000
6.9319 4.3090 0.0000
-4.4879 0.0000 7.6883
Rb Ce Hg S
3 3 1 8
direct
0.0000 0.0000 0.0000 Rb
0.0000 0.5000 0.0000 Rb
0.5000 0.0000 0.0000 Rb
0.0000 0.5000 0.5000 Ce
0.5000 0.0000 0.5000 Ce
0.5000 0.5000 0.5000 Ce
0.0000 0.0000 0.5000 Hg
0.2070 0.2070 0.6742 S
0.2551 0.6895 0.7021 S
0.2665 0.2665 0.3062 S
0.3105 0.7449 0.2979 S
0.6895 0.2551 0.7021 S
0.7335 0.7335 0.6938 S
0.7449 0.3105 0.2979 S
0.7930 0.7930 0.3258 S

15.
Y2TiRhCl PBE relaxed; energy relative to the elements, uncorrected = -0.2877 eV/atom; E = -31.46 eV per cell; total magnetic moment = 1.083 Bohr magnetons per cell; theoretical density = 4.3 Mg/m³; SG = No. 123
1.0
5.5628 0.0000 0.0000
0.0000 5.5628 0.0000
0.0000 0.0000 4.5868
Y Ti Rh Cl
2 1 1 1
direct
0.0000 0.5000 0.0000 Y
0.5000 0.0000 0.0000 Y
0.0000 0.0000 0.5000 Ti
0.0000 0.0000 0.0000 Rh
0.5000 0.5000 0.5000 Cl

16.
Y3Tl3SbSe8 PBE relaxed; energy relative to the elements, uncorrected = -1.1369 eV/atom; E = -75.54 eV per cell; total magnetic moment = 0.000 Bohr magnetons per cell; theoretical density = 5.8 Mg/m³; SG = No. 166
1.0
4.1580 2.4006 7.7900
-4.1580 2.4006 7.7900
0.0000 -4.8012 7.7900
Y Tl Sb Se
3 3 1 8
direct
0.0000 0.5000 0.5000 Y
0.5000 0.0000 0.5000 Y
0.5000 0.5000 0.0000 Y
0.0000 0.0000 0.5000 Tl
0.0000 0.5000 0.0000 Tl
0.5000 0.0000 0.0000 Tl
0.0000 0.0000 0.0000 Sb
0.2311 0.2311 0.7389 Se
0.2311 0.7389 0.2311 Se
0.2611 0.7689 0.7689 Se
0.2647 0.2647 0.2647 Se
0.7353 0.7353 0.7353 Se
0.7389 0.2311 0.2311 Se
0.7689 0.2611 0.7689 Se
0.7689 0.7689 0.2611 Se

17.
Eu5Ta4O15 PBE relaxed; energy relative to the elements, uncorrected = -2.9888 eV/atom; E = -244.89 eV per cell; total magnetic moment = 7.021 Bohr magnetons per cell; theoretical density = 8.8 Mg/m³; SG = No. 164
1.0
5.6849 0.0000 0.0000
-2.8424 4.9232 0.0000
0.0000 0.0000 11.5765
Eu Ta O
5 4 15
direct
0.0000 0.0000 0.0000 Eu
0.3333 0.6667 0.4437 Eu
0.3333 0.6667 0.7730 Eu
0.6667 0.3333 0.2270 Eu
0.6667 0.3333 0.5563 Eu
0.0000 0.0000 0.3160 Ta
0.0000 0.0000 0.6840 Ta
0.3333 0.6667 0.1034 Ta
0.6667 0.3333 0.8966 Ta
0.0000 0.5000 0.0000 O
0.1640 0.3279 0.1947 O
0.1640 0.8360 0.1947 O
0.1703 0.3405 0.6072 O
0.1703 0.8297 0.6072 O
0.3279 0.1640 0.8053 O
0.3405 0.1703 0.3928 O
0.5000 0.0000 0.0000 O
0.5000 0.5000 0.0000 O
0.6595 0.8297 0.6072 O
0.6721 0.8360 0.1947 O
0.8297 0.1703 0.3928 O
0.8297 0.6595 0.3928 O
0.8360 0.1640 0.8053 O
0.8360 0.6721 0.8053 O

18.
Ba2USnSe5 PBE relaxed; energy relative to the elements, uncorrected = -1.3508 eV/atom; E = -97.43 eV per cell; total magnetic moment = 3.993 Bohr magnetons per cell; theoretical density = 5.7 Mg/m³; SG = No. 36
1.0
2.2085 -9.3348 0.0000
2.2085 9.3348 0.0000
0.0000 0.0000 14.4030
Ba U Sn Se
4 2 2 10
direct
0.0913 0.9087 0.5000 Ba
0.1365 0.8635 0.1404 Ba
0.8635 0.1365 0.6404 Ba
0.9087 0.0913 0.0000 Ba
0.2202 0.7798 0.8649 U
0.7798 0.2202 0.3649 U
0.4566 0.5434 0.2874 Sn
0.5434 0.4566 0.7874 Sn
0.0758 0.9242 0.9090 Se
0.2677 0.7323 0.4963 Se
0.3073 0.6927 0.2374 Se
0.3680 0.6320 0.8277 Se
0.4922 0.5078 0.6003 Se
0.5078 0.4922 0.1003 Se
0.6320 0.3680 0.3277 Se
0.6927 0.3073 0.7374 Se
0.7323 0.2677 0.9963 Se
0.9242 0.0758 0.4090 Se

19.
NaAl2Cd PBE relaxed; E = -17.19 eV per cell; total magnetic moment = 0.000 Bohr magnetons per cell; calculated formation energy = 0.2816 eV/atom; theoretical density = 3.5 Mg/m³; SG = No. 122
1.0
-2.0702 2.0702 10.5547
2.0702 -2.0702 10.5547
2.0702 2.0702 -10.5547
Na Al Cd
2 4 2
direct
0.0000 0.0000 0.0000 Na
0.7500 0.2500 0.5000 Na
0.1344 0.6250 0.0094 Al
0.3750 0.3844 0.5094 Al
0.6156 0.1250 0.9906 Al
0.8750 0.8656 0.4906 Al
0.2500 0.7500 0.5000 Cd
0.5000 0.5000 0.0000 Cd

20.
BeSb2I PBE relaxed; energy relative to the elements, uncorrected = 0.4017 eV/atom; E = -23.83 eV per cell; total magnetic moment = 0.000 Bohr magnetons per cell; offset from the most stable computed form = 0.0 meV per atom; theoretical density = 4.9 Mg/m³; SG = No. 122
1.0
-3.3112 3.3112 5.8157
3.3112 -3.3112 5.8157
3.3112 3.3112 -5.8157
Be Sb I
2 4 2
direct
0.0000 0.0000 0.0000 Be
0.7500 0.2500 0.5000 Be
0.0123 0.6250 0.8873 Sb
0.3750 0.2623 0.3873 Sb
0.7377 0.1250 0.1127 Sb
0.8750 0.9877 0.6127 Sb
0.2500 0.7500 0.5000 I
0.5000 0.5000 0.0000 I